## SrSi2Pd2Pt (PBE-GGA)

Data for crystalline SrSi2Pd2Pt at its relaxed geometry.

Summary:
**Space group**: P4/mmm
**Raw total energy**: -31.59 eV per cell
**Energy relative to the elements, uncorrected**: -439 meV/atom

Lattice parameters (Å, degrees): 4.6209 4.6209 5.8238 90.00 90.00 90.00
Closest atoms and distances in Å follow each position.
Positions (direct):
Sr 0.0000 0.0000 0.5000  2 Pt 2.91
Si 0.5000 0.0000 0.0000  2 Pt 2.31
Si 0.0000 0.5000 0.0000  2 Pt 2.31
Pd 0.5000 0.5000 0.7583  4 Si 2.71, 2 Pd 2.82-3.01
Pd 0.5000 0.5000 0.2417  4 Si 2.71, 2 Pd 2.82-3.01
Pt 0.0000 0.0000 0.0000  4 Si 2.31